1.
## Tl2Bi5Pb5 (GGA-PBE)

Data for Tl2Bi5Pb5 after structural relaxation.

Structure (POSCAR):
```
Tl2Bi5Pb5
1.0
0.0915 -2.9960 1.8866
-4.1541 -6.1714 -5.5915
10.4293 -8.2106 -2.5537
Bi Pb Tl
5 5 2
Direct
0.3051 0.8401 0.4765 Bi
0.6949 0.1599 0.5235 Bi
0.9678 0.5360 0.2394 Bi
0.0322 0.4640 0.7606 Bi
0.0000 0.0000 0.0000 Bi
0.7430 0.1450 0.7662 Pb
0.3525 0.3321 0.0155 Pb
0.0000 0.5000 0.5000 Pb
0.2570 0.8550 0.2338 Pb
0.6475 0.6679 0.9845 Pb
0.5539 0.1962 0.2742 Tl
0.4461 0.8038 0.7258 Tl
```

Calculated values
- electronic total energy (eV per cell) = -42.4
- calculated formation energy (eV per atom) = 0.02
- N(E_F) (states/eV/atom) = 0.50

***

2.
## B5C7 (GGA-PBE)

Data for B5C7 after structural relaxation.

Structure (POSCAR):
```
B5C7
1.0
-1.5882 -1.3112 1.4968
3.6987 -2.0029 2.1700
-0.0670 4.9752 4.2871
C B
7 5
Direct
0.5000 0.5331 0.9883 C
0.5000 0.8281 0.3489 C
0.0000 0.6783 0.6674 C
0.5000 0.1538 0.6552 C
0.0000 0.6674 0.9049 C
0.5000 0.8315 0.5882 C
0.0000 0.9687 0.2708 C
0.0000 0.3317 0.6239 B
0.5000 0.2014 0.8975 B
0.0000 0.9907 0.0238 B
0.5000 0.5235 0.2340 B
0.0000 0.2917 0.2972 B
```

Calculated values
- electronic total energy (eV per cell) = -93.7
- calculated formation energy (eV per atom) = 0.35
- N(E_F) (states/eV/atom) = 0.16
- relative energy among the computed polymorphs (meV/atom) = 93

***

3.
## AcTb8Pm3 (GGA-PBE)

Data for AcTb8Pm3 after structural relaxation.

Structure (POSCAR):
```
AcTb8Pm3
1.0
-3.7689 -5.9985 -5.2901
6.1592 0.1456 6.3415
-7.0942 1.5196 5.0533
Tb Pm Ac
8 3 1
Direct
0.9852 0.2455 0.7396 Tb
0.8234 0.7487 0.5719 Tb
0.1766 0.7485 0.9253 Tb
0.1768 0.2515 0.4281 Tb
0.8232 0.2513 0.0747 Tb
0.5059 0.2456 0.2604 Tb
0.4941 0.7545 0.7397 Tb
0.0148 0.7544 0.2603 Tb
0.0000 0.5000 0.5000 Pm
0.5000 0.2414 0.7414 Pm
0.5000 0.7586 0.2586 Pm
0.0000 0.0000 0.0000 Ac
```

Calculated values
- electronic total energy (eV per cell) = -51.7
- calculated formation energy (eV per atom) = 0.31
- N(E_F) (states/eV/atom) = 1.35

***

4.
## Pm2NdSb3Rh4 (GGA-PBE)

Data for Pm2NdSb3Rh4 after structural relaxation.

Structure (POSCAR):
```
Pm2NdSb3Rh4
1.0
4.4268 0.0000 0.0000
0.0000 4.4268 0.0000
0.0000 0.0000 11.5192
Rh Nd Pm Sb
4 1 2 3
Direct
0.0000 0.0000 0.0000 Rh
0.5000 0.5000 0.0000 Rh
0.5000 0.0000 0.6494 Rh
0.0000 0.5000 0.3506 Rh
0.5000 0.5000 0.5000 Nd
0.5000 0.0000 0.2190 Pm
0.0000 0.5000 0.7810 Pm
0.0000 0.5000 0.1290 Sb
0.5000 0.0000 0.8710 Sb
0.0000 0.0000 0.5000 Sb
```

Calculated values
- electronic total energy (eV per cell) = -64.1
- N(E_F) (states/eV/atom) = 0.85
- formation energy from raw total energies (eV/atom) = -0.81

***

5.
## Tb3Dy12Er (GGA-PBE)

Data for Tb3Dy12Er after structural relaxation.

Structure (POSCAR):
```
Tb3Dy12Er
1.0
5.0018 0.0000 0.0000
0.0000 5.0018 0.0000
0.0000 0.0000 19.9849
Dy Tb Er
12 3 1
Direct
0.5000 0.5000 0.5000 Dy
0.5000 0.0000 0.8757 Dy
0.5000 0.5000 0.7506 Dy
0.5000 0.0000 0.6253 Dy
0.0000 0.5000 0.6253 Dy
0.0000 0.5000 0.8757 Dy
0.5000 0.0000 0.1243 Dy
0.5000 0.5000 0.2494 Dy
0.0000 0.5000 0.3747 Dy
0.5000 0.5000 0.0000 Dy
0.0000 0.5000 0.1243 Dy
0.5000 0.0000 0.3747 Dy
0.0000 0.0000 0.7504 Tb
0.0000 0.0000 0.2496 Tb
0.0000 0.0000 0.5000 Tb
0.0000 0.0000 0.0000 Er
```

Calculated values
- electronic total energy (eV per cell) = -73.4
- calculated formation energy (eV per atom) = 0.02
- N(E_F) (states/eV/atom) = 1.30

***

6.
## La5SmTl2In (GGA-PBE)

Data for La5SmTl2In after structural relaxation.

Structure (POSCAR):
```
La5SmTl2In
1.0
8.9972 0.0000 0.0000
0.0000 8.9972 0.0000
-4.4986 -4.4986 7.2464
La In Tl Sm
10 2 4 2
Direct
0.6580 0.1580 0.7210 La
0.1580 0.0630 0.7210 La
0.4370 0.3420 0.2790 La
0.0000 0.0000 0.0000 La
0.5630 0.6580 0.7210 La
0.8420 0.9370 0.2790 La
0.5000 0.5000 0.0000 La
0.0630 0.5630 0.7210 La
0.9370 0.4370 0.2790 La
0.3420 0.8420 0.2790 La
0.2500 0.2500 0.5000 In
0.7500 0.7500 0.5000 In
0.6119 0.1119 0.0000 Tl
0.3881 0.8881 0.0000 Tl
0.8881 0.6119 0.0000 Tl
0.1119 0.3881 0.0000 Tl
0.7500 0.2500 0.5000 Sm
0.2500 0.7500 0.5000 Sm
```

Calculated values
- electronic total energy (eV per cell) = -76.2
- calculated formation energy (eV per atom) = -0.14
- N(E_F) (states/eV/atom) = 1.05